The following is a DFT calculation (PBE) of crystalline GaAgF4 at its relaxed geometry.

Lattice parameters (Å, degrees): 14.634 3.892 6.882 90.00 100.03 90.00
Space group C2/m (No. 12)
One atom of each set of equivalent atoms:
Ga (0.085, 0.000, 0.171) (multiplicity 4)
Ag (0.200, 0.000, 0.741) (multiplicity 4)
F (0.050, 0.000, 0.875) (multiplicity 4)
F (0.087, 0.500, 0.158) (multiplicity 4)
F (0.105, 0.000, 0.441) (multiplicity 4)
F (0.211, 0.000, 0.137) (multiplicity 4)

Properties
The value obtained for the formation energy (no corrections) is -2.061 eV per atom. Its energy above the most stable polymorph in this dataset is 0.00 kcal/mol of atoms. For the calculated volume, the calculation gives 385.97 Å³ per cell. The calculation puts the total energy at -4.2886 eV per atom.